# 1
# NaBi2As

Crystalline NaBi2As at its relaxed geometry (GGA-PBEsol, Alexandria via LeMat-Bulk).

Structure (POSCAR):
```
NaBi2As
1.0
8.675 0.000 0.000
0.000 8.675 0.000
0.000 0.000 6.195
Na Bi As
4 8 4
Direct
0.000 0.000 0.000
0.000 0.500 0.250
0.500 0.000 0.750
0.500 0.500 0.500
0.206 0.250 0.625
0.250 0.706 0.875
0.250 0.794 0.375
0.294 0.250 0.125
0.706 0.750 0.125
0.750 0.206 0.375
0.750 0.294 0.875
0.794 0.750 0.625
0.000 0.000 0.500
0.000 0.500 0.750
0.500 0.000 0.250
0.500 0.500 0.000
```

Calculated values
As for the formation energy: -0.031 eV/atom. The value obtained for the total energy is -3.800 eV/atom.

# 2
# TaCdRu2

Crystalline TaCdRu2 at its relaxed geometry (GGA-PBEsol, Alexandria via LeMat-Bulk).

Structure (POSCAR):
```
TaCdRu2
1.0
3.129 0.000 0.000
0.000 3.129 0.000
0.000 0.000 6.448
Ta Cd Ru
1 1 2
Direct
0.000 0.000 0.000
0.000 0.000 0.500
0.500 0.500 0.229
0.500 0.500 0.771
```

Calculated values
As for the formation energy: -0.124 eV/atom. The value obtained for the total energy is -8.648 eV/atom.

# 3
# Li3MoP

Crystalline Li3MoP at its relaxed geometry (GGA-PBEsol, Alexandria via LeMat-Bulk).

Structure (POSCAR):
```
Li3MoP
1.0
4.568 0.000 0.000
0.000 4.568 0.000
0.000 0.000 4.568
Li Mo P
3 1 1
Direct
0.000 0.000 0.500
0.000 0.500 0.000
0.500 0.000 0.000
0.500 0.500 0.500
0.000 0.000 0.000
```

Calculated values
As for the formation energy: 0.708 eV/atom. The value obtained for the total energy is -3.984 eV/atom.

# 4
# Li3SnF

Crystalline Li3SnF at its relaxed geometry (GGA-PBEsol, Alexandria via LeMat-Bulk).

Structure (POSCAR):
```
Li3SnF
1.0
4.150 0.000 0.000
0.000 4.150 0.000
0.000 0.000 4.150
Li Sn F
3 1 1
Direct
0.000 0.000 0.500
0.000 0.500 0.000
0.500 0.000 0.000
0.500 0.500 0.500
0.000 0.000 0.000
```

Calculated values
As for the uncorrected formation energy: -1.270 eV/atom. The value obtained for the total energy is -3.687 eV/atom.

# 5
# CaFe2AuSe

Crystalline CaFe2AuSe at its relaxed geometry (GGA-PBEsol, Alexandria via LeMat-Bulk).

Structure (POSCAR):
```
CaFe2AuSe
1.0
4.522 0.000 0.000
0.000 4.522 0.000
0.000 0.000 5.035
Ca Fe Au Se
1 2 1 1
Direct
0.000 0.000 0.000
0.000 0.500 0.000
0.500 0.000 0.000
0.500 0.500 0.500
0.000 0.000 0.500
```

Calculated values
As for the uncorrected formation energy: 1.604 eV/atom. The value obtained for the total energy is -3.962 eV/atom.

# 6
# LiHf3O

Crystalline LiHf3O at its relaxed geometry (GGA-PBEsol, Alexandria via LeMat-Bulk).

Structure (POSCAR):
```
LiHf3O
1.0
4.359 0.000 0.000
0.000 4.359 0.000
0.000 0.000 4.359
Li Hf O
1 3 1
Direct
0.000 0.000 0.000
0.000 0.500 0.500
0.500 0.000 0.500
0.500 0.500 0.000
0.500 0.500 0.500
```

Calculated values
As for the uncorrected formation energy: -0.854 eV/atom. The value obtained for the total energy is -8.599 eV/atom.

# 7
# SrCdW2

Crystalline SrCdW2 at its relaxed geometry (GGA-PBEsol, Alexandria via LeMat-Bulk).

Structure (POSCAR):
```
SrCdW2
1.0
5.711 0.000 0.000
0.000 10.104 0.000
0.000 0.000 2.735
Sr Cd W
2 2 4
Direct
0.000 0.000 0.000
0.500 0.500 0.000
0.000 0.500 0.000
0.500 0.000 0.000
0.250 0.250 0.500
0.250 0.750 0.500
0.750 0.250 0.500
0.750 0.750 0.500
```

Calculated values
As for the formation energy: 1.177 eV/atom. The value obtained for the total energy is -6.486 eV/atom.

# 8
# CrFe3

Crystalline CrFe3 at its relaxed geometry (GGA-PBEsol, Alexandria via LeMat-Bulk).

Structure (POSCAR):
```
CrFe3
1.0
2.444 0.000 0.000
0.000 7.787 0.000
0.000 0.000 4.245
Cr Fe
2 6
Direct
0.000 0.000 0.000
0.500 0.500 0.500
0.000 0.247 0.329
0.000 0.500 0.998
0.000 0.753 0.329
0.500 0.000 0.498
0.500 0.253 0.829
0.500 0.747 0.829
```

Calculated values
As for the formation energy: 0.021 eV/atom. The value obtained for the total energy is -9.263 eV/atom.